The following is a DFT calculation (PBE) of crystalline MnP2Au at its relaxed geometry.

Cell lengths 4.4543, 4.4543, 4.4521 Å; angles 69.29, 69.29, 106.97 degrees
Last column: magnetic moment on the atom in μB.
Element x y z (fractional)
P  0.0000  0.0000  0.0000  -0.06
P  0.5000  0.5000  0.0000  -0.06
Mn  0.0000  0.5000  0.5000  3.64
Au  0.5000  0.0000  0.5000  0.04

Calculated values
- E_tot: -5.616 eV per atom
- Volume: 17.0 A^3/atom
- ΔE_f: 0.2007 eV per atom
- Fermi-level density of states: 1.85 states/eV/f.u.
- Total magnetic moment: 0.94 μB/atom